Entry 1:
A geometry-optimized Ni2Ge2Sb structure, computed with PBE.

abc: 7.572 7.572 2.873
angles: 90.00 90.00 90.00
Fractional coordinates of all 10 atoms:
Sb  0.000  0.000  0.000
Sb  0.500  0.500  0.000
Ge  0.352  0.852  0.000
Ge  0.852  0.648  0.000
Ge  0.648  0.148  0.000
Ge  0.148  0.352  0.000
Ni  0.126  0.626  0.500
Ni  0.626  0.874  0.500
Ni  0.874  0.374  0.500
Ni  0.374  0.126  0.500

Properties
energy above the most stable polymorph in this dataset	163	meV per atom
symmetry	No. 127
total magnetic moment	0.0	μB per formula unit

Entry 2:
A geometry-optimized Ni3GeSb structure, computed with PBE.

abc: 5.169 5.192 6.817
angles: 76.75 67.62 59.11
Fractional coordinates of all 10 atoms:
Ni  0.998  0.004  0.419
Ni  0.520  0.350  0.999
Ni  0.257  0.728  0.732
Ni  0.013  0.397  0.983
Ni  0.029  0.510  0.334
Ni  0.494  0.013  0.411
Ge  0.966  0.288  0.679
Ge  0.969  0.909  0.085
Sb  0.531  0.514  0.336
Sb  0.606  0.936  0.783

Properties
energy above the most stable polymorph in this dataset	0	meV per atom
symmetry	No. 1
total magnetic moment	0.0	μB per formula unit

Entry 3:
A geometry-optimized Ni3GeSb structure, computed with PBE.

abc: 4.643 4.643 4.643
angles: 90.00 90.00 90.00
Fractional coordinates of all 5 atoms:
Sb  0.000  0.000  0.000
Ge  0.500  0.500  0.500
Ni  0.000  0.500  0.000
Ni  0.000  0.000  0.500
Ni  0.500  0.000  0.000

Properties
energy above the most stable polymorph in this dataset	902	meV per atom
symmetry	No. 221
total magnetic moment	0.0	μB per formula unit

Entry 4:
A geometry-optimized Ni14GeSb structure, computed with PBE.

abc: 5.122 5.122 7.043
angles: 90.00 90.00 90.00
Each line ends with the local moment (μB).
Fractional coordinates of all 16 atoms:
Ni  0.875  0.875  0.000  0.42
Ni  0.375  0.375  0.000  0.50
Ni  0.875  0.375  0.500  0.15
Ni  0.875  0.375  0.000  0.56
Ni  0.375  0.875  0.500  0.15
Ni  0.375  0.875  0.000  0.56
Ni  0.629  0.121  0.241  0.32
Ni  0.629  0.121  0.759  0.32
Ni  0.121  0.629  0.241  0.32
Ni  0.121  0.629  0.759  0.32
Ni  0.629  0.629  0.241  0.32
Ni  0.629  0.629  0.759  0.32
Ni  0.121  0.121  0.241  0.32
Ni  0.121  0.121  0.759  0.32
Ge  0.875  0.875  0.500  -0.01
Sb  0.375  0.375  0.500  -0.01

Properties
VASP energy	-5.67	eV/atom
symmetry	No. 123
total magnetic moment	4.6	μB per formula unit

Entry 5:
A geometry-optimized Ni2Ge2Sb structure, computed with PBE.

abc: 4.204 4.204 5.596
angles: 67.93 67.93 90.00
Fractional coordinates of all 5 atoms:
Sb  0.000  0.000  0.000
Ge  0.370  0.370  0.261
Ge  0.630  0.630  0.739
Ni  0.750  0.250  0.500
Ni  0.250  0.750  0.500

Properties
energy above the most stable polymorph in this dataset	18	meV per atom
symmetry	No. 139
total magnetic moment	0.0	μB per formula unit

Entry 6:
A geometry-optimized Ni4GeSb2 structure, computed with PBE.

abc: 4.378 4.378 7.178
angles: 72.25 72.25 90.00
Fractional coordinates of all 7 atoms:
Sb  0.364  0.364  0.273
Sb  0.636  0.636  0.727
Ge  0.000  0.000  0.000
Ni  0.173  0.173  0.655
Ni  0.827  0.827  0.345
Ni  0.000  0.500  0.000
Ni  0.500  0.000  0.000

Properties
VASP energy	-4.86	eV/atom
symmetry	No. 139
total magnetic moment	0.0	μB per formula unit

Entry 7:
A geometry-optimized Sm2Ni4GeSb3 structure, computed with PBE.

abc: 4.354 4.354 10.011
angles: 90.00 90.00 90.00
Fractional coordinates of all 10 atoms:
Sm  0.500  0.000  0.250
Sm  0.000  0.500  0.750
Ni  0.500  0.500  0.000
Ni  0.000  0.000  0.000
Ni  0.500  0.000  0.619
Ni  0.000  0.500  0.381
Ge  0.500  0.500  0.500
Sb  0.000  0.000  0.500
Sb  0.500  0.000  0.868
Sb  0.000  0.500  0.132

Properties
VASP energy	-5.60	eV/atom
symmetry	No. 115
total magnetic moment	0.0	μB per formula unit

Entry 8:
A geometry-optimized Ni2SnGeSb structure, computed with PBE.

abc: 4.698 5.688 4.698
angles: 90.00 90.00 90.00
Fractional coordinates of all 5 atoms:
Sb  0.000  0.500  0.000
Ge  0.500  0.500  0.500
Sn  0.000  0.000  0.000
Ni  0.000  0.000  0.500
Ni  0.500  0.000  0.000

Properties
VASP energy	-3.88	eV/atom
symmetry	No. 123
total magnetic moment	0.0	μB per formula unit

Entry 9:
A geometry-optimized Ni7Sn2GeSb2 structure, computed with PBE.

abc: 3.696 3.696 14.407
angles: 85.87 85.87 90.71
Fractional coordinates of all 12 atoms:
Ni  0.500  0.500  0.000
Ni  0.366  0.366  0.423
Ni  0.634  0.634  0.577
Ni  0.966  0.466  0.117
Ni  0.466  0.966  0.117
Ni  0.534  0.034  0.883
Ni  0.034  0.534  0.883
Sn  0.571  0.571  0.757
Sn  0.429  0.429  0.243
Ge  0.000  0.000  0.000
Sb  0.863  0.863  0.407
Sb  0.137  0.137  0.593

Properties
VASP energy	-5.22	eV/atom
symmetry	No. 12
total magnetic moment	0.0	μB per formula unit

Entry 10:
A geometry-optimized Sr2Ni4GeSb3 structure, computed with PBE.

abc: 4.435 4.435 10.269
angles: 90.00 90.00 90.00
Fractional coordinates of all 10 atoms:
Sr  0.500  0.000  0.249
Sr  0.000  0.500  0.751
Ni  0.500  0.500  0.000
Ni  0.000  0.000  0.000
Ni  0.500  0.000  0.619
Ni  0.000  0.500  0.381
Ge  0.500  0.500  0.500
Sb  0.000  0.000  0.500
Sb  0.500  0.000  0.872
Sb  0.000  0.500  0.128

Properties
VASP energy	-4.88	eV/atom
symmetry	No. 115
total magnetic moment	0.0	μB per formula unit

Entry 11:
A geometry-optimized TcNiGeSb2 structure, computed with PBE.

abc: 5.293 5.293 4.267
angles: 90.00 90.00 90.00
Each line ends with the local moment (μB).
Fractional coordinates of all 5 atoms:
Sb  0.000  0.500  0.000  -0.08
Sb  0.500  0.000  0.000  -0.08
Ge  0.000  0.000  0.000  0.00
Tc  0.500  0.500  0.500  3.01
Ni  0.000  0.000  0.500  0.10

Properties
VASP energy	-4.67	eV/atom
symmetry	No. 123
total magnetic moment	3.2	μB per formula unit

Entry 12:
A geometry-optimized NiGeSbTe2 structure, computed with PBE.

abc: 5.242 5.242 4.739
angles: 90.00 90.00 90.00
Fractional coordinates of all 5 atoms:
Sb  0.000  0.000  0.500
Ge  0.500  0.500  0.500
Te  0.000  0.500  0.000
Te  0.500  0.000  0.000
Ni  0.000  0.000  0.000

Properties
energy above the most stable polymorph in this dataset	0	meV per atom
symmetry	No. 123
total magnetic moment	0.0	μB per formula unit

Entry 13:
A geometry-optimized NiGeSbTe2 structure, computed with PBE.

abc: 5.347 5.347 5.309
angles: 90.00 90.00 90.00
Each line ends with the local moment (μB).
Fractional coordinates of all 5 atoms:
Sb  0.000  0.000  0.500  -0.02
Ge  0.000  0.000  0.000  -0.01
Te  0.000  0.500  0.000  0.04
Te  0.500  0.000  0.000  0.04
Ni  0.500  0.500  0.500  0.83

Properties
energy above the most stable polymorph in this dataset	657	meV per atom
symmetry	No. 123
total magnetic moment	0.9	μB per formula unit

Entry 14:
A geometry-optimized VNi7Ge2Sb2 structure, computed with PBE.

abc: 3.582 3.582 14.703
angles: 83.00 83.00 90.00
Fractional coordinates of all 12 atoms:
V  0.000  0.000  0.000
Ni  0.500  0.500  0.000
Ni  0.304  0.304  0.393
Ni  0.696  0.696  0.607
Ni  0.939  0.439  0.121
Ni  0.439  0.939  0.121
Ni  0.561  0.061  0.879
Ni  0.061  0.561  0.879
Ge  0.616  0.616  0.768
Ge  0.384  0.384  0.232
Sb  0.789  0.789  0.424
Sb  0.211  0.211  0.576

Properties
VASP energy	-5.75	eV/atom
symmetry	No. 139
total magnetic moment	0.0	μB per formula unit

Entry 15:
A geometry-optimized ScNi3Ge structure, computed with PBE.

abc: 4.468 4.468 4.468
angles: 90.00 90.00 90.00
Fractional coordinates of all 5 atoms:
Sc  0.000  0.000  0.000
Ni  0.000  0.500  0.000
Ni  0.000  0.000  0.500
Ni  0.500  0.000  0.000
Ge  0.500  0.500  0.500

Properties
energy above the most stable polymorph in this dataset	1426	meV per atom
symmetry	No. 221
total magnetic moment	0.0	μB per formula unit

Entry 16:
A geometry-optimized ScNi5Ge3 structure, computed with PBE.

abc: 3.956 6.819 9.672
angles: 90.00 90.00 106.86
Fractional coordinates of all 18 atoms:
Sc  0.746  0.492  0.750
Sc  0.254  0.508  0.250
Ni  0.812  0.624  0.465
Ni  0.188  0.376  0.965
Ni  0.000  0.000  0.500
Ni  0.000  0.000  0.000
Ni  0.442  0.885  0.121
Ni  0.558  0.115  0.879
Ni  0.558  0.115  0.621
Ni  0.812  0.624  0.035
Ni  0.188  0.376  0.535
Ni  0.442  0.885  0.379
Ge  0.369  0.738  0.900
Ge  0.918  0.835  0.250
Ge  0.369  0.738  0.600
Ge  0.631  0.262  0.400
Ge  0.082  0.165  0.750
Ge  0.631  0.262  0.100

Properties
VASP energy	-5.85	eV/atom
symmetry	No. 63
total magnetic moment	0.0	μB per formula unit

Entry 17:
A geometry-optimized Sc3Ni6Ge2 structure, computed with PBE.

abc: 7.430 7.430 7.430
angles: 109.47 109.47 109.47
Fractional coordinates of all 22 atoms:
Sc  0.718  0.000  0.718
Sc  0.282  0.000  0.282
Sc  0.000  0.282  0.282
Sc  0.000  0.718  0.718
Sc  0.282  0.282  0.000
Sc  0.718  0.718  0.000
Ni  0.659  0.318  0.659
Ni  0.659  0.000  0.341
Ni  0.341  0.000  0.659
Ni  0.341  0.682  0.341
Ni  0.000  0.659  0.341
Ni  0.682  0.341  0.341
Ni  0.318  0.659  0.659
Ni  0.000  0.341  0.659
Ni  0.341  0.659  0.000
Ni  0.659  0.659  0.318
Ni  0.341  0.341  0.682
Ni  0.659  0.341  0.000
Ge  0.000  0.500  0.000
Ge  0.500  0.000  0.000
Ge  0.000  0.000  0.500
Ge  0.500  0.500  0.500

Properties
VASP energy	-6.32	eV/atom
symmetry	No. 229
total magnetic moment	0.0	μB per formula unit

Entry 18:
A geometry-optimized Sc3Ni9Ge2 structure, computed with PBE.

abc: 3.582 7.539 7.539
angles: 80.89 76.26 76.26
Fractional coordinates of all 14 atoms:
Sc  0.000  0.000  0.000
Sc  0.711  0.289  0.289
Sc  0.289  0.711  0.711
Ni  0.000  0.500  0.500
Ni  0.631  0.993  0.746
Ni  0.369  0.007  0.254
Ni  0.631  0.746  0.993
Ni  0.369  0.254  0.007
Ni  0.837  0.869  0.457
Ni  0.163  0.131  0.543
Ni  0.837  0.457  0.869
Ni  0.163  0.543  0.131
Ge  0.500  0.320  0.680
Ge  0.500  0.680  0.320

Properties
VASP energy	-6.12	eV/atom
symmetry	No. 71
total magnetic moment	0.0	μB per formula unit

Entry 19:
A geometry-optimized ScNi6Ge structure, computed with PBE.

abc: 6.317 6.317 10.331
angles: 90.00 90.00 110.23
Fractional coordinates of all 32 atoms:
Sc  0.743  0.257  0.000
Sc  0.257  0.743  0.000
Sc  0.500  0.500  0.750
Sc  0.500  0.500  0.250
Ni  0.750  0.250  0.742
Ni  0.116  0.364  0.870
Ni  0.884  0.636  0.870
Ni  0.250  0.750  0.742
Ni  0.636  0.884  0.870
Ni  0.364  0.116  0.870
Ni  0.500  0.500  0.500
Ni  0.886  0.634  0.621
Ni  0.634  0.886  0.621
Ni  0.750  0.250  0.258
Ni  0.114  0.366  0.379
Ni  0.886  0.634  0.379
Ni  0.250  0.750  0.258
Ni  0.634  0.886  0.379
Ni  0.366  0.114  0.379
Ni  0.500  0.500  0.000
Ni  0.884  0.636  0.130
Ni  0.636  0.884  0.130
Ni  0.000  0.000  0.500
Ni  0.366  0.114  0.621
Ni  0.114  0.366  0.621
Ni  0.000  0.000  0.000
Ni  0.364  0.116  0.130
Ni  0.116  0.364  0.130
Ge  0.737  0.263  0.500
Ge  0.263  0.737  0.500
Ge  0.000  0.000  0.750
Ge  0.000  0.000  0.250

Properties
energy above the most stable polymorph in this dataset	0	meV per atom
symmetry	No. 65
total magnetic moment	0.0	μB per formula unit

Entry 20:
A geometry-optimized ScNi2Ge structure, computed with PBE.

abc: 3.468 4.032 4.032
angles: 90.00 90.00 90.00
Fractional coordinates of all 4 atoms:
Sc  0.500  0.500  0.500
Ni  0.000  0.000  0.500
Ni  0.000  0.500  0.000
Ge  0.500  0.000  0.000

Properties
VASP energy	-6.08	eV/atom
symmetry	No. 123
total magnetic moment	0.0	μB per formula unit

Entry 21:
A geometry-optimized Sc6Ni16Ge7 structure, computed with PBE.

abc: 8.240 8.240 8.240
angles: 60.00 60.00 60.00
Fractional coordinates of all 29 atoms:
Sc  0.209  0.791  0.791
Sc  0.209  0.791  0.209
Sc  0.791  0.209  0.209
Sc  0.791  0.209  0.791
Sc  0.791  0.791  0.209
Sc  0.209  0.209  0.791
Ni  0.381  0.381  0.381
Ni  0.508  0.831  0.831
Ni  0.619  0.619  0.142
Ni  0.169  0.169  0.492
Ni  0.831  0.831  0.508
Ni  0.169  0.169  0.169
Ni  0.831  0.831  0.831
Ni  0.381  0.381  0.858
Ni  0.831  0.508  0.831
Ni  0.619  0.619  0.619
Ni  0.381  0.858  0.381
Ni  0.142  0.619  0.619
Ni  0.619  0.142  0.619
Ni  0.169  0.492  0.169
Ni  0.858  0.381  0.381
Ni  0.492  0.169  0.169
Ge  0.000  0.000  0.500
Ge  0.500  0.000  0.500
Ge  0.500  0.500  0.500
Ge  0.000  0.500  0.000
Ge  0.500  0.500  0.000
Ge  0.500  0.000  0.000
Ge  0.000  0.500  0.500

Properties
VASP energy	-6.22	eV/atom
symmetry	No. 225
total magnetic moment	0.0	μB per formula unit